Record 1
VASP calculation (PBE) on a geometry-optimized PmPrMg structure. Values from VASP.

symmetry	F-43m (216)
excess energy over the best structure of this formula in the dataset	0.0	meV per atom

Geometry as Quantum ESPRESSO input:
```
&SYSTEM
  ibrav = 0, nat = 3, ntyp = 3
/
ATOMIC_SPECIES
Pr 140.91 Pr.upf
Pm 145.00 Pm.upf
Mg 24.30 Mg.upf
ATOMIC_POSITIONS crystal
Pr 0.7500 0.7500 0.7500
Pm 0.2500 0.2500 0.2500
Mg 0.0000 0.0000 0.0000
CELL_PARAMETERS angstrom
-4.4020 -2.7550 -1.3750
-4.6482 2.5781 -0.7786
-2.0181 0.4611 -4.9571
```

Record 2
VASP calculation (PBE) on a geometry-optimized PmMgPt structure. Values from VASP.

uncorrected energy	-4.190	eV per atom
symmetry	F-43m (216)

Geometry as Quantum ESPRESSO input:
```
&SYSTEM
  ibrav = 0, nat = 3, ntyp = 3
/
ATOMIC_SPECIES
Pm 145.00 Pm.upf
Pt 195.08 Pt.upf
Mg 24.30 Mg.upf
ATOMIC_POSITIONS crystal
Pm 0.0000 0.0000 0.0000
Pt 0.7500 0.7500 0.7500
Mg 0.2500 0.2500 0.2500
CELL_PARAMETERS angstrom
-3.0775 -3.3062 1.7382
-0.9562 -0.1593 4.7416
-4.3445 1.3637 1.6396
```